# ScGa5Ni (PBEsol, relaxed)
# total DFT energy (no corrections): -32.96 eV/cell
# energy of formation: -0.4996 eV/atom
# calculated volume: 15.74 A^3/atom
# N(E_F): 2.2 states/eV/cell
data_ScGa5Ni
_symmetry_space_group_name_H-M 'P 4/m m m'
_symmetry_Int_Tables_number 123
_symmetry_space_group_name_Hall '-P 4 2'
_cell_length_a 4.115
_cell_length_b 4.115
_cell_length_c 6.504
_cell_angle_alpha 90.00
_cell_angle_beta 90.00
_cell_angle_gamma 90.00
loop_
_atom_site_label
_atom_site_type_symbol
_atom_site_fract_x
_atom_site_fract_y
_atom_site_fract_z
Sc1 Sc 0.000 0.000 0.000
Ga1 Ga 0.000 0.500 0.299
Ga2 Ga 0.500 0.500 0.000
Ni1 Ni 0.000 0.000 0.500